1.
VASP calculation (PBE-GGA) on an optimized crystal structure of CeHf.

- Space-group type: Pmmn, No. 59

```
CeHf
1.0
3.1721 0.0000 -0.5508
0.0000 4.6316 0.0000
-2.0527 0.0000 7.0293
Hf Ce
2 2
direct
0.6466 0.7500 0.8969 Hf
0.3534 0.2500 0.1031 Hf
0.8675 0.2500 0.6176 Ce
0.1325 0.7500 0.3824 Ce
```

***

2.
VASP calculation (PBE-GGA) on an optimized crystal structure of Ce4Hf.

- Space-group type: Pm-3m, No. 221

```
Ce4Hf
1.0
-2.8970 4.7451 -0.4023
-3.7068 -1.9513 3.6773
2.9895 2.1787 4.1696
Hf Ce
1 4
direct
0.5000 0.5000 0.5000 Hf
0.0000 0.0000 0.0000 Ce
0.5000 0.0000 0.5000 Ce
0.0000 0.5000 0.5000 Ce
0.5000 0.5000 0.0000 Ce
```

***

3.
VASP calculation (PBE-GGA) on an optimized crystal structure of Ce3Hf.

- Space-group type: I4/mmm, No. 139
- Energy above the most stable polymorph in this dataset: 0.0000 eV/atom

```
Ce3Hf
1.0
5.7894 0.0559 0.0000
1.9926 5.4360 0.0000
-3.8910 -2.7459 3.2925
Ce Hf
3 1
direct
0.7500 0.2500 0.5000 Ce
0.2500 0.7500 0.5000 Ce
0.5000 0.5000 0.0000 Ce
0.0000 0.0000 0.0000 Hf
```

***

| no. | calculated volume (Å³ per cell) | energy relative to the elements (meV per atom) |
| --- | --- | --- |
| 1 | 98.0 | 75 |
| 2 | 173.2 | 735 |
| 3 | 103.3 | 107 |